1.
! BaSrPrHfO6 (PBE-GGA, relaxed); values from VASP
! Theoretical density ... 6.5 g cm⁻³
! V ... 16.4 Å³ per atom
! Relative energy among the computed polymorphs ... 0.000 eV per atom
! Uncorrected formation energy ... -2.953 eV per atom
! Symmetry ... P-1, No. 2
! VASP energy ... -155.2 eV/cell
&SYSTEM
  ibrav = 0, nat = 20, ntyp = 5
/
ATOMIC_SPECIES
Ba 137.33 Ba.upf
Sr 87.62 Sr.upf
Pr 140.91 Pr.upf
Hf 178.49 Hf.upf
O 16.00 O.upf
CELL_PARAMETERS angstrom
6.108 0.000 0.000
0.030 6.198 0.000
0.068 0.048 8.675
ATOMIC_POSITIONS angstrom
Ba 0.068 0.215 2.163
Ba 6.138 6.031 6.512
Sr 2.995 3.358 2.165
Sr 3.212 2.888 6.510
Pr 0.015 3.099 0.000
Pr 3.088 0.024 4.337
Hf 0.049 3.123 4.337
Hf 3.054 0.000 0.000
O 0.676 3.223 6.350
O 1.284 4.763 3.929
O 1.425 4.965 0.318
O 1.685 1.888 3.869
O 1.903 1.704 0.486
O 2.636 0.339 6.656
O 3.571 5.907 2.019
O 4.304 4.542 8.189
O 4.522 4.358 4.806
O 4.782 1.281 8.356
O 4.923 1.483 4.746
O 5.531 3.023 2.325

---

2.
! BaSrPrHfO6 (PBE-GGA, relaxed); values from VASP
! Theoretical density ... 6.3 g cm⁻³
! V ... 17.0 Å³ per atom
! Relative energy among the computed polymorphs ... 0.073 eV per atom
! Uncorrected formation energy ... -2.880 eV per atom
! Symmetry ... F-43m, No. 216
! VASP energy ... -76.9 eV/cell
&SYSTEM
  ibrav = 0, nat = 10, ntyp = 5
/
ATOMIC_SPECIES
Ba 137.33 Ba.upf
Sr 87.62 Sr.upf
Pr 140.91 Pr.upf
Hf 178.49 Hf.upf
O 16.00 O.upf
CELL_PARAMETERS angstrom
0.000 4.395 4.395
4.395 0.000 4.395
4.395 4.395 0.000
ATOMIC_POSITIONS angstrom
Ba 0.000 0.000 0.000
Sr 4.395 4.395 4.395
Pr 2.198 2.198 2.198
Hf 6.593 6.593 6.593
O 6.593 6.593 4.522
O 6.593 4.522 6.593
O 8.664 6.593 6.593
O 4.522 6.593 6.593
O 6.593 8.664 6.593
O 6.593 6.593 8.664